AcTm2MoO8: optimized geometry, PBE+U.

Properties
final energy	-7.680	eV/atom
density	7.38	Mg/m³
N(E_F)	0.32	states/eV per atom

a b c (Å): 7.048 7.090 7.106
angles (deg): 90.00 90.00 90.00
Space group Cmmm (No. 65)
Unique sites:
1 Ac 0.000 0.000 0.000
2 Tm 0.000 0.500 0.268
3 Mo 0.000 0.000 0.500
4 O 0.000 0.188 0.301
5 O 0.168 0.500 0.000
6 O 0.219 0.500 0.500